[1]
{
  "formula": "Na4Pa3PdSe8",
  "functional": "PBE",
  "state": "optimized geometry",
  "n_ef_per_ev_cell": 20.33,
  "e_form_raw_ev_per_atom": -1.16,
  "total_magnetization_mub_per_cell": 3.05,
  "cell": [[7.114, -4.087, 0.000], [7.114, 4.087, 0.000], [-4.747, 0.000, 7.057]],
  "species": ["Na", "Na", "Na", "Na", "Pa", "Pa", "Pa", "Pd", "Se", "Se", "Se", "Se", "Se", "Se", "Se", "Se"],
  "frac_coords": [[0.000, 0.000, 0.000], [0.000, 0.500, 0.000], [0.500, 0.000, 0.000], [0.500, 0.500, 0.000], [0.000, 0.000, 0.500], [0.000, 0.500, 0.500], [0.500, 0.000, 0.500], [0.500, 0.500, 0.500], [0.241, 0.743, 0.728], [0.246, 0.246, 0.738], [0.254, 0.254, 0.270], [0.257, 0.759, 0.272], [0.743, 0.241, 0.728], [0.746, 0.746, 0.730], [0.754, 0.754, 0.262], [0.759, 0.257, 0.272]]
}

---

[2]
{
  "formula": "Na3Pa3PdSe8",
  "functional": "PBE",
  "state": "optimized geometry",
  "n_ef_per_ev_cell": 19.65,
  "e_form_raw_ev_per_atom": -1.14,
  "total_magnetization_mub_per_cell": 2.82,
  "cell": [[6.954, -4.136, 0.000], [6.954, 4.136, 0.000], [-4.574, 0.000, 7.087]],
  "species": ["Na", "Na", "Na", "Pa", "Pa", "Pa", "Pd", "Se", "Se", "Se", "Se", "Se", "Se", "Se", "Se"],
  "frac_coords": [[0.000, 0.000, 0.000], [0.000, 0.500, 0.000], [0.500, 0.000, 0.000], [0.000, 0.500, 0.500], [0.500, 0.000, 0.500], [0.500, 0.500, 0.500], [0.000, 0.000, 0.500], [0.231, 0.231, 0.714], [0.250, 0.730, 0.730], [0.253, 0.253, 0.262], [0.270, 0.750, 0.270], [0.730, 0.250, 0.730], [0.747, 0.747, 0.738], [0.750, 0.270, 0.270], [0.769, 0.769, 0.286]]
}